(1)
PBE Pa2HI2Cl4, relaxed; space-group type = No. 12; mass density = 4.3 g/cm3; calculated total energy = -4.839 eV/atom; crystal system = monoclinic
1.0
-3.010 -2.993 -3.444
6.199 -4.441 -1.560
-3.543 -1.118 8.406
Pa H I Cl
2 1 2 4
Cartesian
-2.042 -2.193 8.027
1.688 -6.358 -4.626
0.000 0.000 0.000
2.508 -3.671 0.997
-2.862 -4.880 2.404
3.204 -4.869 -2.907
0.192 -7.212 1.761
-3.558 -3.682 6.309
-0.547 -1.340 1.641


(2)
PBE PaH2I2Cl2, relaxed; space-group type = No. 12; mass density = 3.8 g/cm3; calculated total energy = -4.277 eV/atom; crystal system = monoclinic
1.0
-1.810 0.810 3.923
-2.733 -6.890 2.625
5.627 -0.914 5.247
Pa H I Cl
1 2 2 2
Cartesian
0.000 0.000 0.000
-0.117 -3.326 8.020
1.201 -3.668 3.774
2.778 -1.205 6.455
-1.694 -5.789 5.339
2.344 -5.448 7.131
-1.260 -1.546 4.663


(3)
PBE PrHICl, relaxed; space-group type = No. 8; mass density = 4.5 g/cm3; calculated total energy = -4.381 eV/atom; crystal system = monoclinic
1.0
4.083 -0.014 -0.004
-2.029 3.543 0.004
-2.029 -1.182 7.750
Pr H I Cl
1 1 1 1
Cartesian
2.599 0.850 0.821
0.561 2.036 0.888
0.556 -0.324 3.040
-3.506 2.040 6.851


(4)
PBE PuHICl, relaxed; space-group type = No. 8; mass density = 6.5 g/cm3; calculated total energy = -6.438 eV/atom; crystal system = monoclinic
1.0
-3.501 -0.579 -1.754
0.233 0.159 3.948
1.122 7.861 -0.396
Pu H I Cl
1 1 1 1
Cartesian
-2.713 0.393 -0.394
-1.481 0.724 1.504
-0.780 2.890 -0.609
1.150 7.065 3.064